# TmPa2H8, optimized geometry, DFT PBE-GGA
data_TmPa2H8
_space_group_name_H-M_alt 'I m m m'
_space_group_IT_number 71
_space_group_name_Hall '-I 2 2'
_cell_length_a 3.849
_cell_length_b 4.718
_cell_length_c 11.662
_cell_angle_alpha 90.00
_cell_angle_beta 90.00
_cell_angle_gamma 90.00
loop_
_atom_site_label
_atom_site_type_symbol
_atom_site_fract_x
_atom_site_fract_y
_atom_site_fract_z
Tm1 Tm 0.000 0.000 0.000
Pa1 Pa 0.000 0.000 0.324
H1 H 0.000 0.244 0.500
H2 H 0.000 0.251 0.153
H3 H 0.000 0.500 0.304
# - ρ (g cm⁻³) = 10.022
# - DFT total energy (eV/atom) = -4.97